The following is a GGA-PBE calculation of a relaxed structure of CaTaSi2, from Alexandria.

The energy above the most stable polymorph in this dataset comes out at 20.61 kcal/mol of atoms. The crystal system is cubic. For the uncorrected formation energy, the calculation gives 0.64 eV/atom.

Lattice parameters (Å, degrees): 6.5791 6.5791 6.5791 90.00 90.00 90.00
Fractional coordinates of all 16 atoms:
Ca: 0.0000 0.0000 0.0000
Ca: 0.0000 0.5000 0.5000
Ca: 0.5000 0.0000 0.5000
Ca: 0.5000 0.5000 0.0000
Ta: 0.2500 0.2500 0.2500
Ta: 0.2500 0.7500 0.7500
Ta: 0.7500 0.2500 0.7500
Ta: 0.7500 0.7500 0.2500
Si: 0.0000 0.0000 0.5000
Si: 0.0000 0.5000 0.0000
Si: 0.2500 0.2500 0.7500
Si: 0.2500 0.7500 0.2500
Si: 0.5000 0.0000 0.0000
Si: 0.5000 0.5000 0.5000
Si: 0.7500 0.2500 0.2500
Si: 0.7500 0.7500 0.7500



The following is a GGA-PBE calculation of a relaxed structure of CaAg2Au, from Alexandria.

The energy of formation from the pure elements comes out at -0.339 eV per atom. The crystal system is orthorhombic.

Lattice parameters (Å, degrees): 4.3266 4.3437 8.7165 90.00 90.00 90.00
Fractional coordinates of all 8 atoms:
Ca: 0.0000 0.0000 0.0000
Ca: 0.5000 0.5000 0.5000
Ag: 0.0000 0.5000 0.2496
Ag: 0.0000 0.5000 0.7504
Ag: 0.5000 0.0000 0.2504
Ag: 0.5000 0.0000 0.7496
Au: 0.0000 0.0000 0.5000
Au: 0.5000 0.5000 0.0000



The following is a GGA-PBE calculation of a relaxed structure of SrNdH8Pt2, from Alexandria.

The calculated total energy is -4.089 eV per atom. The crystal system is trigonal.

Lattice parameters (Å, degrees): 7.1574 7.1574 7.1574 39.79 39.79 39.79
Fractional coordinates of all 12 atoms:
Sr: 0.0000 0.0000 0.0000
Nd: 0.5000 0.5000 0.5000
H: 0.0899 0.5472 0.5472
H: 0.1481 0.1481 0.1481
H: 0.4528 0.4528 0.9101
H: 0.4528 0.9101 0.4528
H: 0.5472 0.0899 0.5472
H: 0.5472 0.5472 0.0899
H: 0.8519 0.8519 0.8519
H: 0.9101 0.4528 0.4528
Pt: 0.2333 0.2333 0.2333
Pt: 0.7667 0.7667 0.7667



Number 1: M_tot 0.004 μB per cell. Number 2: M_tot 0.000 μB per cell. Number 3: M_tot 0.000 μB per cell.